Material: LuPuMgRh
Method: DFT, PBE
State: relaxed

Cell and atoms, written as CIF:
```
data_LuPuMgRh
_chemical_formula_sum 'Lu4 Pu4 Mg4 Rh4'
_symmetry_space_group_name_H-M 'F -4 3 m'
_symmetry_Int_Tables_number 216
_symmetry_space_group_name_Hall 'F -4 2 3'
_cell_length_a 7.057
_cell_length_b 7.057
_cell_length_c 7.057
_cell_angle_alpha 90.00
_cell_angle_beta 90.00
_cell_angle_gamma 90.00
loop_
_atom_site_label
_atom_site_type_symbol
_atom_site_fract_x
_atom_site_fract_y
_atom_site_fract_z
Lu1 Lu 0.000 0.000 0.000
Pu1 Pu 0.000 0.000 0.500
Mg1 Mg 0.250 0.250 0.250
Rh1 Rh 0.250 0.250 0.750
```

Computed properties:
E_tot (eV/atom): -7.1754
Energy of formation from the pure elements (meV/atom): -225.7
Density of states at the Fermi level (states/eV per atom): 1.5206
Total magnetic moment (μB/f.u.): 5.254


Material: PrSm6Tl4
Method: DFT, PBE
State: relaxed

Cell and atoms, written as CIF:
```
data_PrSm6Tl4
_chemical_formula_sum 'Pr1 Sm6 Tl4'
_symmetry_space_group_name_H-M 'P -6 m 2'
_symmetry_Int_Tables_number 187
_symmetry_space_group_name_Hall 'P -6 2'
_cell_length_a 10.3403
_cell_length_b 10.3403
_cell_length_c 3.8034
_cell_angle_alpha 90.00
_cell_angle_beta 90.00
_cell_angle_gamma 120.00
loop_
_atom_site_label
_atom_site_type_symbol
_atom_site_fract_x
_atom_site_fract_y
_atom_site_fract_z
Pr1 Pr 0.0000 0.0000 0.0000
Sm1 Sm 0.1922 0.3844 0.5000
Sm2 Sm 0.5410 0.0820 0.0000
Tl1 Tl 0.3220 0.1610 0.5000
Tl2 Tl 0.3333 0.6667 0.0000
```

Computed properties:
E_tot (eV/atom): -4.1042
Energy of formation from the pure elements (meV/atom): -235.2
Density of states at the Fermi level (states/eV per atom): 0.9129
Total magnetic moment (μB/f.u.): 2.142


Material: Sc2CdSe
Method: DFT, PBE
State: relaxed

Cell and atoms, written as CIF:
```
data_Sc2CdSe
_chemical_formula_sum 'Sc6 Cd3 Se3'
_symmetry_space_group_name_H-M 'R -3 m'
_symmetry_Int_Tables_number 166
_symmetry_space_group_name_Hall '-R 3 2"'
_cell_length_a 3.7339
_cell_length_b 3.7339
_cell_length_c 27.4043
_cell_angle_alpha 90.00
_cell_angle_beta 90.00
_cell_angle_gamma 120.00
loop_
_atom_site_label
_atom_site_type_symbol
_atom_site_fract_x
_atom_site_fract_y
_atom_site_fract_z
Sc1 Sc 0.0000 0.0000 0.0892
Cd1 Cd 0.0000 0.0000 0.5000
Se1 Se 0.0000 0.0000 0.0000
```

Computed properties:
E_tot (eV/atom): -4.4959
Density of states at the Fermi level (states/eV per atom): 1.0507
Offset from the most stable computed form (eV per atom): 0.644
Total magnetic moment (μB/f.u.): 0.448


Material: Y2PRh
Method: DFT, PBE
State: relaxed

Cell and atoms, written as CIF:
```
data_Y2PRh
_chemical_formula_sum 'Y6 P3 Rh3'
_symmetry_space_group_name_H-M 'R -3 m'
_symmetry_Int_Tables_number 166
_symmetry_space_group_name_Hall '-R 3 2"'
_cell_length_a 3.9733
_cell_length_b 3.9733
_cell_length_c 20.1964
_cell_angle_alpha 90.00
_cell_angle_beta 90.00
_cell_angle_gamma 120.00
loop_
_atom_site_label
_atom_site_type_symbol
_atom_site_fract_x
_atom_site_fract_y
_atom_site_fract_z
Y1 Y 0.0000 0.0000 0.2488
P1 P 0.0000 0.0000 0.5000
Rh1 Rh 0.0000 0.0000 0.0000
```

Computed properties:
E_tot (eV/atom): -7.4218
Energy of formation from the pure elements (meV/atom): -999.4
Total magnetic moment (μB/f.u.): 0.000


Material: TbSi2IrRh2
Method: DFT, PBE
State: relaxed

Cell and atoms, written as CIF:
```
data_TbSi2IrRh2
_chemical_formula_sum 'Tb1 Si2 Ir1 Rh2'
_symmetry_space_group_name_H-M 'P 4/m m m'
_symmetry_Int_Tables_number 123
_symmetry_space_group_name_Hall '-P 4 2'
_cell_length_a 4.484
_cell_length_b 4.484
_cell_length_c 5.541
_cell_angle_alpha 90.00
_cell_angle_beta 90.00
_cell_angle_gamma 90.00
loop_
_atom_site_label
_atom_site_type_symbol
_atom_site_fract_x
_atom_site_fract_y
_atom_site_fract_z
Tb1 Tb 0.000 0.000 0.000
Si1 Si 0.000 0.500 0.500
Ir1 Ir 0.000 0.000 0.500
Rh1 Rh 0.500 0.500 0.250
```

Computed properties:
E_tot (eV/atom): -6.8704
Density of states at the Fermi level (states/eV per atom): 0.6695
Total magnetic moment (μB/f.u.): 0.000


Material: SbWCl2
Method: DFT, PBE
State: relaxed

Cell and atoms, written as CIF:
```
data_SbWCl2
_chemical_formula_sum 'Sb3 W3 Cl6'
_symmetry_space_group_name_H-M 'R 3 m'
_symmetry_Int_Tables_number 160
_symmetry_space_group_name_Hall 'R 3 -2"'
_cell_length_a 3.4162
_cell_length_b 3.4162
_cell_length_c 25.9957
_cell_angle_alpha 90.00
_cell_angle_beta 90.00
_cell_angle_gamma 120.00
loop_
_atom_site_label
_atom_site_type_symbol
_atom_site_fract_x
_atom_site_fract_y
_atom_site_fract_z
Sb1 Sb 0.0000 0.0000 0.0000
W1 W 0.0000 0.0000 0.2574
Cl1 Cl 0.0000 0.0000 0.5310
Cl2 Cl 0.0000 0.0000 0.7472
```

Computed properties:
E_tot (eV/atom): -5.1193
Density of states at the Fermi level (states/eV per atom): 0.8586
Offset from the most stable computed form (eV per atom): 0.203
Total magnetic moment (μB/f.u.): 0.000


Material: Mn2CdPb
Method: DFT, PBE
State: relaxed

Cell and atoms, written as CIF:
```
data_Mn2CdPb
_chemical_formula_sum 'Mn2 Cd1 Pb1'
_symmetry_space_group_name_H-M 'P 4/m m m'
_symmetry_Int_Tables_number 123
_symmetry_space_group_name_Hall '-P 4 2'
_cell_length_a 4.401
_cell_length_b 4.401
_cell_length_c 3.979
_cell_angle_alpha 90.00
_cell_angle_beta 90.00
_cell_angle_gamma 90.00
loop_
_atom_site_label
_atom_site_type_symbol
_atom_site_fract_x
_atom_site_fract_y
_atom_site_fract_z
Mn1 Mn 0.000 0.500 0.000
Cd1 Cd 0.000 0.000 0.500
Pb1 Pb 0.500 0.500 0.500
```

Computed properties:
E_tot (eV/atom): -5.3359
Energy of formation from the pure elements (meV/atom): 404.7
Density of states at the Fermi level (states/eV per atom): 0.8379
Total magnetic moment (μB/f.u.): 7.320


Material: ZrUAu
Method: DFT, PBE
State: relaxed

Cell and atoms, written as CIF:
```
data_ZrUAu
_chemical_formula_sum 'Zr4 U4 Au4'
_symmetry_space_group_name_H-M 'I 4/m m m'
_symmetry_Int_Tables_number 139
_symmetry_space_group_name_Hall '-I 4 2'
_cell_length_a 3.473
_cell_length_b 3.473
_cell_length_c 22.080
_cell_angle_alpha 90.00
_cell_angle_beta 90.00
_cell_angle_gamma 90.00
loop_
_atom_site_label
_atom_site_type_symbol
_atom_site_fract_x
_atom_site_fract_y
_atom_site_fract_z
Zr1 Zr 0.000 0.000 0.127
U1 U 0.000 0.000 0.275
Au1 Au 0.000 0.000 0.440
```

Computed properties:
E_tot (eV/atom): -7.8242
Energy of formation from the pure elements (meV/atom): -119.7
Density of states at the Fermi level (states/eV per atom): 1.3366
Total magnetic moment (μB/f.u.): 0.000


Material: HfHRh3
Method: DFT, PBE
State: relaxed

Cell and atoms, written as CIF:
```
data_HfHRh3
_chemical_formula_sum 'Hf2 H2 Rh6'
_symmetry_space_group_name_H-M 'P 1 m 1'
_symmetry_Int_Tables_number 6
_cell_length_a 5.582
_cell_length_b 4.074
_cell_length_c 5.591
_cell_angle_alpha 90.00
_cell_angle_beta 90.05
_cell_angle_gamma 90.00
loop_
_symmetry_equiv_pos_as_xyz
'x,y,z'
'x,-y,z'
loop_
_atom_site_label
_atom_site_type_symbol
_atom_site_fract_x
_atom_site_fract_y
_atom_site_fract_z
Hf1 Hf 0.000 0.000 0.000
Hf2 Hf 0.491 0.000 0.500
H1 H 0.493 0.500 0.000
H2 H 0.550 0.500 0.499
Rh1 Rh 0.244 0.500 0.251
Rh2 Rh 0.244 0.500 0.749
Rh3 Rh 0.498 0.000 0.000
Rh4 Rh 0.753 0.500 0.247
Rh5 Rh 0.753 0.500 0.753
Rh6 Rh 0.998 0.000 0.500
```

Computed properties:
E_tot (eV/atom): -7.7199
Density of states at the Fermi level (states/eV per atom): 0.6772
Offset from the most stable computed form (eV per atom): 0.041
Total magnetic moment (μB/f.u.): 0.000


Material: Nd2MnGe4Rh3
Method: DFT, PBE
State: relaxed

Cell and atoms, written as CIF:
```
data_Nd2MnGe4Rh3
_chemical_formula_sum 'Nd2 Mn1 Ge4 Rh3'
_symmetry_space_group_name_H-M 'P -4 m 2'
_symmetry_Int_Tables_number 115
_cell_length_a 4.237
_cell_length_b 4.237
_cell_length_c 10.339
_cell_angle_alpha 90.00
_cell_angle_beta 90.00
_cell_angle_gamma 90.00
loop_
_symmetry_equiv_pos_as_xyz
'x,y,z'
'y,-x,-z'
'-x,-y,z'
'-y,x,-z'
'-x,y,z'
'-y,-x,-z'
'x,-y,z'
'y,x,-z'
loop_
_atom_site_label
_atom_site_type_symbol
_atom_site_fract_x
_atom_site_fract_y
_atom_site_fract_z
Nd1 Nd 0.000 0.500 0.245
Mn1 Mn 0.000 0.000 0.500
Ge1 Ge 0.000 0.000 0.000
Ge2 Ge 0.000 0.500 0.635
Ge3 Ge 0.500 0.500 0.000
Rh1 Rh 0.000 0.500 0.875
Rh2 Rh 0.500 0.500 0.500
```

Computed properties:
E_tot (eV/atom): -6.6611
Energy of formation from the pure elements (meV/atom): -738.2
Density of states at the Fermi level (states/eV per atom): 0.6864
Total magnetic moment (μB/f.u.): 2.976